NbFe2Rh2 | the Alexandria database | PBE | relaxed; crystal system = tetragonal; relative energy among the computed polymorphs = 0.00 eV per formula unit
1.0
7.132 0.000 0.000
0.000 7.132 0.000
0.000 0.000 2.745
Nb Fe Rh
2 4 4
Direct
0.000 0.000 0.000
0.500 0.500 0.000
0.119 0.381 0.000
0.381 0.881 0.000
0.619 0.119 0.000
0.881 0.619 0.000
0.176 0.676 0.500
0.324 0.176 0.500
0.676 0.824 0.500
0.824 0.324 0.500

NbFe2Rh2 | the Alexandria database | PBE | relaxed; crystal system = tetragonal; relative energy among the computed polymorphs = 0.71 eV per formula unit
1.0
7.155 0.000 0.000
0.000 7.155 0.000
0.000 0.000 2.681
Nb Fe Rh
2 4 4
Direct
0.000 0.000 0.000
0.500 0.500 0.000
0.169 0.331 0.500
0.331 0.831 0.500
0.669 0.169 0.500
0.831 0.669 0.500
0.129 0.629 0.000
0.371 0.129 0.000
0.629 0.871 0.000
0.871 0.371 0.000

Nb2Fe2Rh | the Alexandria database | PBE | relaxed; crystal system = tetragonal; relative energy among the computed polymorphs = 1.31 eV per formula unit
1.0
-1.547 1.547 7.952
1.547 -1.547 7.952
1.547 1.547 -7.952
Nb Fe Rh
2 2 1
Direct
0.112 0.112 0.000
0.888 0.888 0.000
0.250 0.750 0.500
0.750 0.250 0.500
0.500 0.500 0.000

NbFe3Rh | the Alexandria database | PBE | relaxed; crystal system = cubic; relative energy among the computed polymorphs = 1.38 eV per formula unit
1.0
4.420 0.000 0.000
0.000 4.420 0.000
0.000 0.000 4.420
Nb Fe Rh
1 3 1
Direct
0.000 0.000 0.000
0.000 0.000 0.500
0.000 0.500 0.000
0.500 0.000 0.000
0.500 0.500 0.500

NbFe2Rh8 | the Alexandria database | PBE | relaxed; crystal system = orthorhombic; raw total energy = -85.6 eV for the cell shown
1.0
3.952 -5.053 0.000
3.952 5.053 0.000
0.000 0.000 4.052
Nb Fe Rh
1 2 8
Direct
0.000 0.000 0.000
0.385 0.615 0.500
0.615 0.385 0.500
0.037 0.306 0.500
0.260 0.740 0.000
0.306 0.037 0.500
0.332 0.332 0.000
0.668 0.668 0.000
0.694 0.963 0.500
0.740 0.260 0.000
0.963 0.694 0.500

Nb3Fe8Rh | the Alexandria database | PBE | relaxed; crystal system = trigonal; raw total energy = -107.0 eV for the cell shown
1.0
4.768 0.000 0.000
-2.384 4.129 0.000
0.000 0.000 7.800
Nb Fe Rh
3 8 1
Direct
0.000 0.000 0.000
0.000 0.000 0.378
0.333 0.667 0.854
0.005 0.503 0.182
0.331 0.166 0.683
0.497 0.503 0.182
0.497 0.995 0.182
0.667 0.333 0.430
0.667 0.333 0.934
0.834 0.166 0.683
0.834 0.669 0.683
0.333 0.667 0.491

NbFeRh | the Alexandria database | PBE | relaxed; crystal system = hexagonal; raw total energy = -26.0 eV for the cell shown
1.0
4.346 0.000 0.000
-2.173 3.764 0.000
0.000 0.000 2.735
Nb Fe Rh
1 1 1
Direct
0.000 0.000 0.000
0.667 0.333 0.500
0.333 0.667 0.500

Nb2FeRh2 | the Alexandria database | PBE | relaxed; crystal system = tetragonal; raw total energy = -86.1 eV for the cell shown
1.0
7.077 0.000 0.000
0.000 7.077 0.000
0.000 0.000 3.202
Nb Fe Rh
4 2 4
Direct
0.175 0.325 0.000
0.325 0.825 0.000
0.675 0.175 0.000
0.825 0.675 0.000
0.000 0.000 0.500
0.500 0.500 0.500
0.132 0.632 0.500
0.368 0.132 0.500
0.632 0.868 0.500
0.868 0.368 0.500

Nb2FeRh | the Alexandria database | PBE | relaxed; crystal system = trigonal; relative energy among the computed polymorphs = 2.04 eV per formula unit
1.0
1.411 0.814 9.361
-1.411 0.814 9.361
0.000 -1.629 9.361
Nb Fe Rh
2 1 1
Direct
0.085 0.085 0.085
0.915 0.915 0.915
0.000 0.000 0.000
0.500 0.500 0.500

NbFeRh6 | the Alexandria database | PBE | relaxed; crystal system = tetragonal; raw total energy = -64.9 eV for the cell shown
1.0
5.471 0.000 0.000
0.000 5.471 0.000
0.000 0.000 3.843
Nb Fe Rh
1 1 6
Direct
0.000 0.000 0.000
0.500 0.500 0.000
0.000 0.500 0.000
0.254 0.254 0.500
0.254 0.746 0.500
0.500 0.000 0.000
0.746 0.254 0.500
0.746 0.746 0.500

NbFe3Rh | the Alexandria database | PBE | relaxed; crystal system = cubic; relative energy among the computed polymorphs = 0.00 eV per formula unit
1.0
4.525 0.000 0.000
0.000 4.525 0.000
0.000 0.000 4.525
Nb Fe Rh
1 3 1
Direct
0.000 0.000 0.000
0.000 0.500 0.500
0.500 0.000 0.500
0.500 0.500 0.000
0.500 0.500 0.500

Nb2Fe2Rh | the Alexandria database | PBE | relaxed; crystal system = tetragonal; relative energy among the computed polymorphs = 0.00 eV per formula unit
1.0
6.804 0.000 0.000
0.000 6.804 0.000
0.000 0.000 3.124
Nb Fe Rh
4 4 2
Direct
0.179 0.321 0.000
0.321 0.821 0.000
0.679 0.179 0.000
0.821 0.679 0.000
0.123 0.623 0.500
0.377 0.123 0.500
0.623 0.877 0.500
0.877 0.377 0.500
0.000 0.000 0.500
0.500 0.500 0.500